Density functional theory data (PBE) for a relaxed structure of Ho2Tl3SnS6.

Computed properties:
E_tot: -116.48 eV per cell
Formation energy without anion corrections: -1.102 eV per atom
Spin magnetization: 0.0 μB/cell

a b c (Å): 6.9582 12.0649 7.8237
angles (deg): 90.00 107.15 90.00
Space group C2/m (No. 12)
Unique sites:
Ho (0.0000, 0.1666, 0.0000) [4 per cell]
Tl (0.0000, 0.0000, 0.5000) [2 per cell]
Tl (0.0000, 0.3306, 0.5000) [4 per cell]
Sn (0.0000, 0.5000, 0.0000) [2 per cell]
S (0.2317, 0.3335, 0.1967) [8 per cell]
S (0.2331, 0.0000, 0.1983) [4 per cell]